No. 1
Material: TmHfZr2
Method: DFT, PBE
State: relaxed

a b c (Å): 4.5692 4.6061 4.6061
angles (deg): 90.00 90.00 90.00
Atoms (fractional coordinates):
Tm 0.5000 0.0000 0.0000
Hf 0.5000 0.5000 0.5000
Zr 0.0000 0.0000 0.5000
Zr 0.0000 0.5000 0.0000

Computed properties:
DOS(E_F) = 5.891 states/eV per cell
E_form = 0.107 eV/atom
Excess energy over the best structure of this formula in the dataset = 39 meV/atom



No. 2
Material: TiCo2HIr
Method: DFT, PBE
State: relaxed

a b c (Å): 3.7109 3.7109 3.8036
angles (deg): 90.00 90.00 90.00
Atoms (fractional coordinates):
H 0.0000 0.0000 0.0000
Ir 0.0000 0.0000 0.5000
Co 0.0000 0.5000 0.0000
Co 0.5000 0.0000 0.0000
Ti 0.5000 0.5000 0.5000

Computed properties:
DOS(E_F) = 2.218 states/eV per cell
Excess energy over the best structure of this formula in the dataset = 23 meV/atom



No. 3
Material: TaMo2Se
Method: DFT, PBE
State: relaxed

a b c (Å): 8.2404 8.2404 8.2404
angles (deg): 22.02 22.02 22.02
Atoms (fractional coordinates):
Mo 0.9983 0.9983 0.9983
Mo 0.5017 0.5017 0.5017
Se 0.2500 0.2500 0.2500
Ta 0.7500 0.7500 0.7500

Computed properties:
DOS(E_F) = 4.322 states/eV per cell
Formation energy from raw total energies = 0.214 eV/atom



No. 4
Material: Pm5TmS6
Method: DFT, PBE
State: relaxed

a b c (Å): 6.9256 6.9301 6.9410
angles (deg): 60.05 80.35 70.37
Atoms (fractional coordinates):
S 0.7576 0.0811 0.3221
S 0.2424 0.5969 0.3221
S 0.2460 0.2405 0.0000
S 0.7540 0.7595 0.0000
S 0.7576 0.4031 0.6779
S 0.2424 0.9189 0.6779
Tm 0.0000 0.0000 0.0000
Pm 0.5000 0.1716 0.6567
Pm 0.0000 0.3323 0.3355
Pm 0.5000 0.5000 0.0000
Pm 0.0000 0.6677 0.6645
Pm 0.5000 0.8284 0.3433

Computed properties:
DOS(E_F) = 4.418 states/eV per cell
Formation energy from raw total energies = -2.019 eV/atom



No. 5
Material: RbNp3F10
Method: DFT, PBE
State: relaxed

a b c (Å): 8.6601 8.6601 8.6601
angles (deg): 60.00 60.00 60.00
Site moments in Bohr magnetons follow the coordinates.
Atoms (fractional coordinates):
Rb 0.2500 0.2500 0.2500  0.00
Rb 0.7500 0.7500 0.7500  0.00
Np 0.7396 0.7396 0.2604  3.95
Np 0.7396 0.2604 0.7396  3.95
Np 0.2604 0.7396 0.7396  3.95
Np 0.2604 0.2604 0.7396  3.95
Np 0.7396 0.2604 0.2604  3.95
Np 0.2604 0.7396 0.2604  3.95
F 0.0000 0.0000 0.3312  -0.01
F 0.0000 0.3312 0.0000  -0.01
F 0.3312 0.0000 0.0000  -0.01
F 0.6688 0.3312 0.0000  -0.01
F 0.3873 0.3873 0.3873  -0.01
F 0.1619 0.6127 0.6127  -0.01
F 0.3873 0.8381 0.3873  -0.01
F 0.6688 0.0000 0.3312  -0.01
F 0.3873 0.3873 0.8381  -0.01
F 0.8381 0.3873 0.3873  -0.01
F 0.6127 0.6127 0.1619  -0.01
F 0.0000 0.0000 0.6688  -0.01
F 0.3312 0.6688 0.0000  -0.01
F 0.0000 0.6688 0.3312  -0.01
F 0.0000 0.3312 0.6688  -0.01
F 0.6688 0.0000 0.0000  -0.01
F 0.6127 0.6127 0.6127  -0.01
F 0.0000 0.6688 0.0000  -0.01
F 0.6127 0.1619 0.6127  -0.01
F 0.3312 0.0000 0.6688  -0.01

Computed properties:
DOS(E_F) = 57.051 states/eV per cell
Formation energy from raw total energies = -3.349 eV/atom



No. 6
Material: Tm6TlOs
Method: DFT, PBE
State: relaxed

a b c (Å): 6.7985 6.8164 7.4279
angles (deg): 62.87 62.98 60.06
Atoms (fractional coordinates):
Tm 0.0366 0.4183 0.7572
Tm 0.7868 0.0354 0.7570
Tm 0.5818 0.2120 0.2431
Tm 0.2132 0.9646 0.2430
Tm 0.9634 0.5817 0.2428
Tm 0.4182 0.7880 0.7569
Tl 0.5000 0.5000 0.5000
Os 0.0000 0.0000 0.0000

Computed properties:
DOS(E_F) = 9.582 states/eV per cell
E_form = 0.026 eV/atom



No. 7
Material: SmScPb2
Method: DFT, PBE
State: relaxed

a b c (Å): 4.6556 4.6556 7.1845
angles (deg): 71.09 71.09 60.00
Atoms (fractional coordinates):
Sm 0.6710 0.6710 0.9869
Sc 0.4942 0.4942 0.5174
Pb 0.0901 0.0901 0.7296
Pb 0.2446 0.2446 0.2661

Computed properties:
DOS(E_F) = 3.304 states/eV per cell
E_form = -0.296 eV/atom



No. 8
Material: AgIrAu2
Method: DFT, PBE
State: relaxed

a b c (Å): 5.0887 5.0887 4.9809
angles (deg): 80.24 80.24 32.31
Site moments in Bohr magnetons follow the coordinates.
Atoms (fractional coordinates):
Ir 0.4991 0.4991 0.5095  0.25
Au 0.0000 0.0000 0.0083  0.01
Au 0.7557 0.7557 0.7350  0.01
Ag 0.2452 0.2452 0.2472  0.00

Computed properties:
DOS(E_F) = 3.160 states/eV per cell
E_form = 0.273 eV/atom
Excess energy over the best structure of this formula in the dataset = 51 meV/atom



No. 9
Material: Al2HgBr
Method: DFT, PBE
State: relaxed

a b c (Å): 5.9692 5.9692 9.1358
angles (deg): 44.18 44.18 33.38
Atoms (fractional coordinates):
Hg 0.7500 0.7500 0.7500
Br 0.2500 0.2500 0.2500
Al 0.0181 0.0181 0.1173
Al 0.4819 0.4819 0.3827

Computed properties:
DOS(E_F) = 1.477 states/eV per cell
Excess energy over the best structure of this formula in the dataset = 26 meV/atom
Formation energy from raw total energies = 0.018 eV/atom



No. 10
Material: LiNiI
Method: DFT, PBE
State: relaxed

a b c (Å): 4.8666 3.6635 8.6995
angles (deg): 90.18 91.10 67.93
Atoms (fractional coordinates):
I 0.7932 0.3511 0.2175
I 0.2068 0.6489 0.7825
Ni 0.0650 0.2183 0.5881
Ni 0.9350 0.7817 0.4119
Li 0.6333 0.9352 0.6544
Li 0.3667 0.0648 0.3456

Computed properties:
DOS(E_F) = 0.000 states/eV per cell
Excess energy over the best structure of this formula in the dataset = 46 meV/atom
Formation energy from raw total energies = -0.219 eV/atom



No. 11
Material: BaInSb2
Method: DFT, PBE
State: relaxed

a b c (Å): 7.1910 6.9414 12.1338
angles (deg): 80.09 90.00 90.00
Atoms (fractional coordinates):
Ba 0.2475 0.9582 0.3705
Ba 0.7525 0.0418 0.6295
Ba 0.2475 0.5418 0.1295
Ba 0.7525 0.4582 0.8705
In 0.0963 0.5667 0.6187
In 0.9037 0.4333 0.3813
In 0.0963 0.9333 0.8813
In 0.9037 0.0667 0.1187
Sb 0.7034 0.9379 0.9378
Sb 0.2966 0.0621 0.0622
Sb 0.7034 0.5621 0.5622
Sb 0.2966 0.4379 0.4378
Sb 0.7359 0.4469 0.1665
Sb 0.2641 0.5531 0.8335
Sb 0.7359 0.0531 0.3335
Sb 0.2641 0.9469 0.6665

Computed properties:
DOS(E_F) = 0.237 states/eV per cell
Formation energy from raw total energies = -0.476 eV/atom



No. 12
Material: HfMgSe2N
Method: DFT, PBE
State: relaxed

a b c (Å): 5.0102 5.0102 3.8208
angles (deg): 90.00 90.00 90.00
Site moments in Bohr magnetons follow the coordinates.
Atoms (fractional coordinates):
Mg 0.0000 0.0000 0.0000  -0.01
Hf 0.5000 0.5000 0.5000  -0.32
Se 0.0000 0.5000 0.0000  0.13
Se 0.5000 0.0000 0.0000  0.13
N 0.0000 0.0000 0.5000  0.91

Computed properties:
DOS(E_F) = 2.570 states/eV per cell
Excess energy over the best structure of this formula in the dataset = 716 meV/atom
Formation energy from raw total energies = 0.290 eV/atom



No. 13
Material: KUCd2S6
Method: DFT, PBE
State: relaxed

a b c (Å): 7.2873 7.4771 7.9397
angles (deg): 59.21 50.18 56.92
Site moments in Bohr magnetons follow the coordinates.
Atoms (fractional coordinates):
K 0.7784 0.8218 0.5868  0.00
U 0.3380 0.3125 0.0309  1.22
Cd 0.5041 0.5159 0.3457  -0.01
Cd 0.0100 0.1191 0.8943  0.00
S 0.5653 0.2047 0.2488  -0.03
S 0.3663 0.9198 0.1552  -0.04
S 0.8633 0.4560 0.3942  -0.02
S 0.2655 0.7124 0.9174  -0.04
S 0.8153 0.1756 0.6700  -0.02
S 0.1555 0.4237 0.7721  -0.03

Computed properties:
DOS(E_F) = 1.550 states/eV per cell
Formation energy from raw total energies = -0.809 eV/atom



No. 14
Material: BeFe2Se
Method: DFT, PBE
State: relaxed

a b c (Å): 4.5718 4.5718 4.5718
angles (deg): 133.77 133.77 67.44
Site moments in Bohr magnetons follow the coordinates.
Atoms (fractional coordinates):
Be 0.7500 0.2500 0.5000  -0.07
Fe 0.0000 0.0000 0.0000  2.47
Fe 0.5000 0.5000 0.0000  2.47
Se 0.2500 0.7500 0.5000  0.07

Computed properties:
DOS(E_F) = 3.773 states/eV per cell
Formation energy from raw total energies = 0.273 eV/atom